Here is a relaxed Ce2PuPa3 crystal from the Alexandria database. Energies are from GGA-PBE.

```
Ce2PuPa3
1.0
9.2433 0.0000 0.0000
0.0000 3.2992 0.0000
-0.0198 0.0000 9.9040
Ce Pu Pa
4 2 6
direct
0.1257 0.2500 0.4158 Ce
0.3708 0.7500 0.9180 Ce
0.6292 0.2500 0.0820 Ce
0.8743 0.7500 0.5842 Ce
0.1287 0.2500 0.7491 Pu
0.8713 0.7500 0.2509 Pu
0.1192 0.2500 0.0848 Pa
0.3747 0.7500 0.2494 Pa
0.3762 0.7500 0.5850 Pa
0.6238 0.2500 0.4150 Pa
0.6253 0.2500 0.7506 Pa
0.8808 0.7500 0.9152 Pa
```

Calculated values
Space group ... No. 11
Formation energy ... 41 meV/atom
Density ... 13.4 g cm⁻³
Crystal system ... monoclinic
Magnetic moment ... 4.5 μB per formula unit